This record from Alexandria describes a geometry-optimized KMg4Re structure. The functional is PBE.

Calculated values
The formation enthalpy at 0 K comes out at 4.8 eV/f.u.

a b c (Å): 8.2391 8.2391 8.2391
angles (deg): 90.00 90.00 90.00
Space group F-43m (No. 216)
Asymmetric unit:
K 0.0000 0.0000 0.0000 x4
Mg 0.1229 0.1229 0.6229 x16
Re 0.2500 0.2500 0.2500 x4

This record from Alexandria describes a geometry-optimized K2MgRe structure. The functional is PBE.

Calculated values
The formation enthalpy at 0 K comes out at 4.9 eV/f.u.

a b c (Å): 6.1719 12.1848 2.8391
angles (deg): 90.00 113.42 90.00
Space group C2/m (No. 12)
Asymmetric unit:
K 0.2500 0.2500 0.0000 x4
Mg 0.0000 0.0000 0.5000 x2
Re 0.0000 0.5000 0.5000 x2

Question: What is the formation enthalpy at 0 K in the first record?
Answer: 4.8 eV/f.u.